Arrangement one

SrYCd4 | GGA-PBE | relaxed

## Properties
V = 160.0 Å³ per cell
mass density = 6.5 g/cm3

Cell and atoms, written as POSCAR:
```
SrYCd4
1.0
-1.9090 0.2925 3.0296
-4.0440 -1.8929 -2.3660
2.4475 -8.1380 2.3277
Y Sr Cd
1 1 4
direct
0.9986 0.4973 0.9981
0.9987 0.9973 0.4981
0.4985 0.9973 0.1586
0.4986 0.4973 0.3237
0.4985 0.9973 0.8377
0.4986 0.4973 0.6725
```

Arrangement two

SrYCd4 | GGA-PBE | relaxed

## Properties
V = 156.6 Å³ per cell
mass density = 6.6 g/cm3

Cell and atoms, written as POSCAR:
```
SrYCd4
1.0
6.0497 0.0000 0.0000
3.0248 5.2392 0.0000
3.0248 1.7464 4.9396
Cd Y Sr
4 1 1
direct
0.6257 0.6257 0.6257
0.6257 0.6257 0.1229
0.1229 0.6257 0.6257
0.6257 0.1229 0.6257
0.0000 0.0000 0.0000
0.2500 0.2500 0.2500
```

Stability check: which of them is least stable? arrangement two.

Arrangement one

Sr3YCd | GGA-PBE | relaxed

## Properties
V = 292.9 Å³ per cell
mass density = 2.6 g/cm3

Cell and atoms, written as POSCAR:
```
Sr3YCd
1.0
6.6408 0.0000 0.0000
0.0000 6.6408 0.0000
0.0000 0.0000 6.6408
Sr Cd Y
3 1 1
direct
0.0000 0.0000 0.5000
0.5000 0.0000 0.0000
0.0000 0.5000 0.0000
0.5000 0.5000 0.5000
0.0000 0.0000 0.0000
```

Arrangement two

Sr3YCd | GGA-PBE | relaxed

## Properties
V = 244.2 Å³ per cell
mass density = 3.2 g/cm3

Cell and atoms, written as POSCAR:
```
Sr3YCd
1.0
-3.5042 4.5251 2.5122
-4.4892 -4.1672 1.2444
2.5758 -1.1067 5.5863
Y Sr Cd
1 3 1
direct
0.5000 0.5000 0.5000
0.0000 0.0000 0.5000
0.0000 0.5000 0.0000
0.5000 0.0000 0.0000
0.0000 0.0000 0.0000
```

Stability check: which of them is least stable? arrangement one.

Arrangement one

Sr2Zn2Cd | GGA-PBE | relaxed

## Properties
V = 290.8 Å³ per cell
mass density = 4.8 g/cm3

Cell and atoms, written as POSCAR:
```
Sr2Zn2Cd
1.0
4.6308 0.0000 0.0000
2.3154 6.1130 -0.0771
2.3154 0.7790 10.2620
Cd Zn Sr
2 4 4
direct
0.2258 0.9116 0.6368
0.7742 0.0884 0.3632
0.8738 0.6958 0.5566
0.0113 0.8694 0.1080
0.1262 0.3042 0.4434
0.9887 0.1306 0.8920
0.3056 0.2748 0.1140
0.4955 0.6809 0.3282
0.6944 0.7252 0.8860
0.5045 0.3191 0.6718
```

Arrangement two

Sr2Zn2Cd | GGA-PBE | relaxed

## Properties
V = 154.1 Å³ per cell
mass density = 4.5 g/cm3

Cell and atoms, written as POSCAR:
```
Sr2Zn2Cd
1.0
-3.3117 1.4704 -5.0613
3.4594 -3.9033 -3.3976
-2.4672 -4.1691 -3.4246
Sr Cd Zn
2 1 2
direct
0.7500 0.2500 0.5000
0.2500 0.7500 0.5000
0.0000 0.0000 0.0000
0.3503 0.3503 0.2994
0.6497 0.6497 0.7006
```

Arrangement three

Sr2Zn2Cd | GGA-PBE | relaxed

## Properties
V = 141.2 Å³ per cell
mass density = 4.9 g/cm3

Cell and atoms, written as POSCAR:
```
Sr2Zn2Cd
1.0
4.3285 0.0000 1.8439
1.2087 5.2830 3.1650
-0.1134 0.2864 6.2687
Sr Zn Cd
2 2 1
direct
0.3019 0.1981 0.6981
0.6981 0.8019 0.3019
0.0000 0.2324 0.2675
0.0000 0.7676 0.7325
0.5000 0.5000 0.0000
```

Stability check: which of them is least stable? arrangement two.

Arrangement one

Sr2Zn2Cd | GGA-PBE | relaxed

## Properties
V = 291.6 Å³ per cell
mass density = 4.8 g/cm3

Cell and atoms, written as POSCAR:
```
Sr2Zn2Cd
1.0
8.0526 0.0000 0.0000
0.0000 8.0526 0.0000
0.0000 0.0000 4.4972
Zn Sr Cd
4 4 2
direct
0.8873 0.6127 0.0000
0.3873 0.8873 0.0000
0.1127 0.3873 0.0000
0.6127 0.1127 0.0000
0.6847 0.8153 0.5000
0.3153 0.1847 0.5000
0.1847 0.6847 0.5000
0.8153 0.3153 0.5000
0.5000 0.5000 0.0000
0.0000 0.0000 0.0000
```

Arrangement two

Sr2Zn2Cd | GGA-PBE | relaxed

## Properties
V = 150.9 Å³ per cell
mass density = 4.6 g/cm3

Cell and atoms, written as POSCAR:
```
Sr2Zn2Cd
1.0
-3.3191 -1.3437 1.6758
1.1807 -3.7180 -0.6427
3.3132 -2.6263 9.1201
Sr Zn Cd
2 2 1
direct
0.3918 0.3918 0.2164
0.6082 0.6082 0.7836
0.7500 0.2500 0.5000
0.2500 0.7500 0.5000
0.0000 0.0000 0.0000
```

Arrangement three

Sr2Zn2Cd | GGA-PBE | relaxed

## Properties
V = 326.5 Å³ per cell
mass density = 4.3 g/cm3

Cell and atoms, written as POSCAR:
```
Sr2Zn2Cd
1.0
9.1067 0.0000 0.0000
0.0000 9.1067 0.0000
0.0000 0.0000 3.9373
Sr Cd Zn
4 2 4
direct
0.1815 0.3185 0.0000
0.8185 0.6815 0.0000
0.3185 0.8185 0.0000
0.6815 0.1815 0.0000
0.0000 0.0000 0.0000
0.5000 0.5000 0.0000
0.6032 0.8968 0.5000
0.3968 0.1032 0.5000
0.8968 0.3968 0.5000
0.1032 0.6032 0.5000
```

Stability check: which of them is least stable? arrangement three.

Arrangement one

SrZn2Cd2 | GGA-PBE | relaxed

## Properties
V = 235.3 Å³ per cell
mass density = 6.3 g/cm3

Cell and atoms, written as POSCAR:
```
SrZn2Cd2
1.0
-2.4811 6.8166 -4.2937
-7.8520 -1.0409 2.8846
0.7082 1.9049 2.6150
Zn Cd Sr
4 4 2
direct
0.1706 0.6706 0.5000
0.6706 0.8294 0.5000
0.3294 0.1706 0.5000
0.8294 0.3294 0.5000
0.6254 0.1254 0.0000
0.1254 0.3746 0.0000
0.8746 0.6254 0.0000
0.3746 0.8746 0.0000
0.0000 0.0000 0.0000
0.5000 0.5000 0.0000
```

Arrangement two

SrZn2Cd2 | GGA-PBE | relaxed

## Properties
V = 247.8 Å³ per cell
mass density = 5.9 g/cm3

Cell and atoms, written as POSCAR:
```
SrZn2Cd2
1.0
-5.0539 2.0017 -2.8968
-1.0587 -2.4039 -6.3472
-5.6105 -4.7826 -0.0940
Zn Sr Cd
4 2 4
direct
0.4423 0.8238 0.0505
0.3177 0.6745 0.4464
0.6823 0.3255 0.5536
0.5577 0.1762 0.9495
0.8862 0.7492 0.2489
0.1138 0.2508 0.7511
0.4304 0.6530 0.7824
0.8687 0.8514 0.7154
0.5696 0.3470 0.2176
0.1313 0.1486 0.2846
```

Stability check: which of them is least stable? arrangement one.

Arrangement one

SrZn2Cd2 | GGA-PBE | relaxed

## Properties
V = 119.4 Å³ per cell
mass density = 6.2 g/cm3

Cell and atoms, written as POSCAR:
```
SrZn2Cd2
1.0
-2.4961 -0.1522 -3.7477
3.7474 -0.2943 -2.4839
0.4155 -6.0916 -2.7375
Cd Zn Sr
2 2 1
direct
0.2500 0.7500 0.5000
0.7500 0.2500 0.5000
0.6069 0.6069 0.7862
0.3931 0.3931 0.2138
0.0000 0.0000 0.0000
```

Arrangement two

SrZn2Cd2 | GGA-PBE | relaxed

## Properties
V = 122.9 Å³ per cell
mass density = 6.0 g/cm3

Cell and atoms, written as POSCAR:
```
SrZn2Cd2
1.0
4.6173 0.0000 0.0000
0.0000 4.6173 0.0000
2.3086 2.3086 5.7633
Cd Zn Sr
2 2 1
direct
0.3771 0.3771 0.2457
0.6229 0.6229 0.7543
0.2500 0.7500 0.5000
0.7500 0.2500 0.5000
0.0000 0.0000 0.0000
```

Arrangement three

SrZn2Cd2 | GGA-PBE | relaxed

## Properties
V = 244.9 Å³ per cell
mass density = 6.0 g/cm3

Cell and atoms, written as POSCAR:
```
SrZn2Cd2
1.0
8.0326 0.0000 0.0000
0.0000 8.0326 0.0000
0.0000 0.0000 3.7955
Cd Zn Sr
4 4 2
direct
0.1790 0.6790 0.5000
0.6790 0.8210 0.5000
0.3210 0.1790 0.5000
0.8210 0.3210 0.5000
0.8857 0.6143 0.0000
0.3857 0.8857 0.0000
0.1143 0.3857 0.0000
0.6143 0.1143 0.0000
0.0000 0.0000 0.0000
0.5000 0.5000 0.0000
```

Stability check: which of them is least stable? arrangement three.

Arrangement one

SrZn3Cd | GGA-PBE | relaxed

## Properties
V = 132.6 Å³ per cell
mass density = 5.0 g/cm3

Cell and atoms, written as POSCAR:
```
SrZn3Cd
1.0
-1.0254 0.7359 -4.9404
-4.9947 -0.1090 1.0204
0.0417 5.0445 0.7428
Zn Sr Cd
3 1 1
direct
0.0000 0.0000 0.5000
0.0000 0.5000 0.0000
0.5000 0.0000 0.0000
0.5000 0.5000 0.5000
0.0000 0.0000 0.0000
```

Arrangement two

SrZn3Cd | GGA-PBE | relaxed

## Properties
V = 236.6 Å³ per cell
mass density = 2.8 g/cm3

Cell and atoms, written as POSCAR:
```
SrZn3Cd
1.0
-3.6825 -4.8929 -0.8686
0.8345 -1.6746 5.8953
-4.8988 3.3928 1.6572
Cd Zn Sr
1 3 1
direct
0.5000 0.5000 0.5000
0.5000 0.0000 0.0000
0.0000 0.0000 0.5000
0.0000 0.5000 0.0000
0.0000 0.0000 0.0000
```

Arrangement three

SrZn3Cd | GGA-PBE | relaxed

## Properties
V = 232.8 Å³ per cell
mass density = 5.7 g/cm3

Cell and atoms, written as POSCAR:
```
SrZn3Cd
1.0
-4.9280 -0.4480 3.5033
0.5675 -6.6342 -0.0502
3.0390 3.5658 4.7309
Cd Zn Sr
2 6 2
direct
0.0000 0.0000 0.0000
0.5000 0.0000 0.0000
0.7500 0.2031 0.7970
0.2500 0.4062 0.2030
0.2500 0.7969 0.5938
0.7500 0.5938 0.7970
0.7500 0.2031 0.4062
0.2500 0.7969 0.2030
0.7500 0.6667 0.3334
0.2500 0.3333 0.6666
```

Stability check: which of them is least stable? arrangement two.

Arrangement one

Sr4ZnCd | GGA-PBE | relaxed

## Properties
V = 232.9 Å³ per cell
mass density = 3.8 g/cm3

Cell and atoms, written as POSCAR:
```
Sr4ZnCd
1.0
4.0200 -0.0008 0.0002
0.0008 4.0200 0.0002
-0.0006 -0.0006 14.4135
Sr Zn Cd
4 1 1
direct
0.0000 0.0000 0.3599
0.5000 0.5000 0.1310
0.5000 0.5000 0.8690
0.0000 0.0000 0.6401
0.0000 0.0000 0.0000
0.5000 0.5000 0.5000
```

Arrangement two

Sr4ZnCd | GGA-PBE | relaxed

## Properties
V = 255.4 Å³ per cell
mass density = 3.4 g/cm3

Cell and atoms, written as POSCAR:
```
Sr4ZnCd
1.0
5.7133 0.0000 0.0000
2.8566 4.9311 0.2823
2.8566 1.1129 9.1298
Cd Sr Zn
1 4 1
direct
0.5000 0.5000 0.5000
0.3709 0.3708 0.8874
0.6291 0.6292 0.1126
0.1219 0.1221 0.6342
0.8781 0.8779 0.3658
0.0000 0.0000 0.0000
```

Stability check: which of them is least stable? arrangement two.

Arrangement one

Sr2Zn2Cd3 | GGA-PBE | relaxed

## Properties
V = 184.2 Å³ per cell
mass density = 5.8 g/cm3

Cell and atoms, written as POSCAR:
```
Sr2Zn2Cd3
1.0
-4.4489 -0.1839 -0.9081
1.6140 -4.0792 4.2894
-0.8506 7.4589 2.6569
Cd Zn Sr
3 2 2
direct
0.5000 0.0000 0.0000
0.6333 0.2666 0.4364
0.3667 0.7334 0.5636
0.8548 0.7096 0.7991
0.1452 0.2904 0.2009
0.1362 0.2723 0.7697
0.8638 0.7277 0.2303
```

Arrangement two

Sr2Zn2Cd3 | GGA-PBE | relaxed

## Properties
V = 192.6 Å³ per cell
mass density = 5.5 g/cm3

Cell and atoms, written as POSCAR:
```
Sr2Zn2Cd3
1.0
4.0181 0.0000 0.0000
0.0000 4.4317 0.0000
0.0000 -2.2159 10.8158
Sr Zn Cd
2 2 3
direct
0.0000 0.8425 0.6849
0.0000 0.1575 0.3151
0.5000 0.2798 0.5597
0.5000 0.7202 0.4403
0.5000 0.4309 0.8618
0.0000 0.0000 0.0000
0.5000 0.5691 0.1382
```

Stability check: which of them is least stable? arrangement two.

Arrangement one

SrZnCd3 | GGA-PBE | relaxed

## Properties
V = 298.9 Å³ per cell
mass density = 2.7 g/cm3

Cell and atoms, written as POSCAR:
```
SrZnCd3
1.0
6.6862 0.0000 0.0000
0.0000 6.6862 0.0000
0.0000 0.0000 6.6862
Sr Zn Cd
1 1 3
direct
0.0000 0.0000 0.0000
0.5000 0.5000 0.5000
0.0000 0.5000 0.0000
0.5000 0.0000 0.0000
0.0000 0.0000 0.5000
```

Arrangement two

SrZnCd3 | GGA-PBE | relaxed

## Properties
V = 138.5 Å³ per cell
mass density = 5.9 g/cm3

Cell and atoms, written as POSCAR:
```
SrZnCd3
1.0
5.1744 0.0000 0.0000
0.0000 5.1744 0.0000
0.0000 0.0000 5.1744
Zn Cd Sr
1 3 1
direct
0.0000 0.0000 0.0000
0.0000 0.5000 0.0000
0.0000 0.0000 0.5000
0.5000 0.0000 0.0000
0.5000 0.5000 0.5000
```

Stability check: which of them is least stable? arrangement one.

Arrangement one

SrZrCd | GGA-PBE | relaxed

## Properties
V = 177.6 Å³ per cell
mass density = 5.4 g/cm3

Cell and atoms, written as POSCAR:
```
SrZrCd
1.0
-0.1880 -2.7609 -4.4249
-1.2586 -0.4866 3.4349
-11.1420 5.9507 -3.2395
Zr Sr Cd
2 2 2
direct
0.1944 0.3889 0.8798
0.1944 0.3889 0.1202
0.6944 0.3888 0.3228
0.6944 0.3888 0.6772
0.1944 0.3888 0.5000
0.6945 0.3889 0.0000
```

Arrangement two

SrZrCd | GGA-PBE | relaxed

## Properties
V = 86.6 Å³ per cell
mass density = 5.6 g/cm3

Cell and atoms, written as POSCAR:
```
SrZrCd
1.0
-1.8469 -1.1396 2.7406
3.3009 -1.0609 -0.4462
2.6402 6.3554 4.4219
Cd Sr Zr
1 1 1
direct
0.0000 0.0000 0.9811
0.3333 0.6667 0.3269
0.6667 0.3333 0.6920
```

Stability check: which of them is least stable? arrangement two.